# Zr3C

A relaxed Zr3C crystal (GGA-PBE, Alexandria).

Energy above the lowest structure with this stoichiometry, kJ/mol of atoms: 3.5
Total magnetic moment, μB per formula unit: 0.000
Energy of formation from the pure elements, eV/atom: -0.36
SG: No. 65

```
Zr3C
1.0
3.3197 0.0000 0.0000
0.0000 5.4216 -0.0061
0.0000 3.3513 4.2614
C Zr
1 3
direct
0.0000 0.0000 0.0000 C
0.5000 0.8418 0.8420 Zr
0.0000 0.5000 0.5000 Zr
0.5000 0.1582 0.1580 Zr
```